Sr3Rh2 | PBEsol | optimized geometry

Cell and atoms, written as POSCAR:
```
Sr3Rh2
1.0
-1.635 -2.681 4.082
1.689 -4.804 0.770
4.330 -0.490 4.662
Sr Rh
3 2
Direct
0.000 0.000 0.000
0.226 0.226 0.321
0.774 0.774 0.679
0.575 0.575 0.275
0.425 0.425 0.725
```

Output
Energy of formation from the pure elements (eV per atom): -0.06

Sr3Rh | PBEsol | optimized geometry

Cell and atoms, written as POSCAR:
```
Sr3Rh
1.0
-1.095 -2.658 2.406
6.347 -0.540 0.345
-2.538 5.214 2.658
Rh Sr
1 3
Direct
0.000 0.000 0.000
0.500 0.500 0.000
0.000 0.500 0.500
0.500 0.000 0.500
```

Output
Energy of formation from the pure elements (eV per atom): 0.44

Sr3Rh | PBEsol | optimized geometry

Cell and atoms, written as POSCAR:
```
Sr3Rh
1.0
5.555 0.000 0.000
2.777 4.811 0.000
2.777 1.604 4.536
Rh Sr
1 3
Direct
0.000 0.000 0.000
0.250 0.250 0.250
0.500 0.500 0.500
0.750 0.750 0.750
```

Output
Energy of formation from the pure elements (eV per atom): 0.24